Entry from Alexandria via LeMat-Bulk: an optimized crystal structure of BaRh2Cl (GGA-PBE).

abc: 3.377 5.263 5.901
angles: 90.00 90.00 90.00
Space group Pmmm (No. 47)
Unique sites:
1 Ba 0.000 0.000 0.000 x1
2 Rh 0.500 0.500 0.203 x2
3 Cl 0.000 0.000 0.500 x1

Output
Volume (Å³ per atom): 26.22
E_form (uncorrected) (meV/atom): 263
DOS(E_F) (states/eV/cell): 3.21
ΔE to the lowest computed polymorph (eV per atom): 0.577
ρ (g/cm³): 6.0



Entry from Alexandria via LeMat-Bulk: an optimized crystal structure of LiPrZrIn (GGA-PBE).

abc: 7.344 7.344 7.344
angles: 90.00 90.00 90.00
Space group F-43m (No. 216)
Unique sites:
1 Li 0.000 0.000 0.000 x4
2 Pr 0.250 0.250 0.250 x4
3 Zr 0.250 0.250 0.750 x4
4 In 0.000 0.000 0.500 x4

Output
Volume (Å³ per atom): 24.76
DOS(E_F) (states/eV/cell): 15.61
ρ (g/cm³): 5.9
Formation enthalpy at 0 K (meV per atom): -79.6



Entry from Alexandria via LeMat-Bulk: an optimized crystal structure of LiIr3Cl (GGA-PBE).

abc: 4.261 4.261 4.261
angles: 90.00 90.00 90.00
Space group Pm-3m (No. 221)
Unique sites:
1 Li 0.000 0.000 0.000 x1
2 Ir 0.000 0.000 0.500 x3
3 Cl 0.500 0.500 0.500 x1

Output
Volume (Å³ per atom): 15.47
E_form (uncorrected) (meV/atom): 1672
DOS(E_F) (states/eV/cell): 6.73
ΔE to the lowest computed polymorph (eV per atom): 0.372
ρ (g/cm³): 13.3



Entry from Alexandria via LeMat-Bulk: an optimized crystal structure of HoMgScNi (GGA-PBE).

abc: 3.332 3.332 7.685
angles: 90.00 90.00 90.00
Space group P4mm (No. 99)
Unique sites:
1 Ho 0.000 0.000 0.000 x1
2 Mg 0.500 0.500 0.315 x1
3 Sc 0.000 0.000 0.597 x1
4 Ni 0.500 0.500 0.775 x1

Output
Volume (Å³ per atom): 21.33
DOS(E_F) (states/eV/cell): 2.88
ΔE to the lowest computed polymorph (eV per atom): 0.000
ρ (g/cm³): 5.7
Formation enthalpy at 0 K (meV per atom): -265.3



Entry from Alexandria via LeMat-Bulk: an optimized crystal structure of Pr8PtPb2 (GGA-PBE).

abc: 20.138 5.160 7.111
angles: 90.00 104.39 90.00
Space group C2/m (No. 12)
Unique sites:
1 Pr 0.015 0.000 0.281 x4
2 Pr 0.091 0.500 0.971 x4
3 Pr 0.147 0.500 0.505 x4
4 Pr 0.216 0.000 0.827 x4
5 Pt 0.000 0.500 0.500 x2
6 Pb 0.181 0.000 0.261 x4

Output
Volume (Å³ per atom): 32.53
DOS(E_F) (states/eV/cell): 18.54
ρ (g/cm³): 8.1
Formation enthalpy at 0 K (meV per atom): -409.2



Entry from Alexandria via LeMat-Bulk: an optimized crystal structure of Tl3CuRe (GGA-PBE).

abc: 5.347 5.347 5.347
angles: 90.00 90.00 90.00
Space group Pm-3m (No. 221)
Unique sites:
1 Tl 0.000 0.000 0.500 x3
2 Cu 0.500 0.500 0.500 x1
3 Re 0.000 0.000 0.000 x1

Output
Volume (Å³ per atom): 30.57
DOS(E_F) (states/eV/cell): 3.49
ΔE to the lowest computed polymorph (eV per atom): 0.000
ρ (g/cm³): 9.4
Formation enthalpy at 0 K (meV per atom): 1032.5



Entry from Alexandria via LeMat-Bulk: an optimized crystal structure of InTcRh2Pb (GGA-PBE).

abc: 4.955 4.955 5.055
angles: 90.00 90.00 90.00
Space group P4/mmm (No. 123)
Unique sites:
1 In 0.000 0.000 0.000 x1
2 Tc 0.500 0.500 0.000 x1
3 Rh 0.000 0.500 0.500 x2
4 Pb 0.500 0.500 0.500 x1

Output
Volume (Å³ per atom): 24.82
DOS(E_F) (states/eV/cell): 5.19
ρ (g/cm³): 8.4
Formation enthalpy at 0 K (meV per atom): 1464.6



Entry from Alexandria via LeMat-Bulk: an optimized crystal structure of TbPmY3Er (GGA-PBE).

abc: 5.048 15.166 10.105
angles: 90.00 90.00 90.00
Space group Cmcm (No. 63)
Unique sites:
1 Tb 0.000 0.000 0.000 x4
2 Pm 0.000 0.499 0.250 x4
3 Y 0.000 0.167 0.250 x4
4 Y 0.000 0.333 0.000 x8
5 Er 0.000 0.167 0.750 x4

Output
Volume (Å³ per atom): 32.23
DOS(E_F) (states/eV/cell): 34.13
ρ (g/cm³): 6.3
Formation enthalpy at 0 K (meV per atom): 21.4



Entry from Alexandria via LeMat-Bulk: an optimized crystal structure of Li2PdRuN (GGA-PBE).

abc: 4.013 4.013 3.796
angles: 90.00 90.00 90.00
Space group P4/mmm (No. 123)
Unique sites:
1 Li 0.000 0.500 0.000 x2
2 Pd 0.000 0.000 0.500 x1
3 Ru 0.500 0.500 0.500 x1
4 N 0.500 0.500 0.000 x1

Output
Volume (Å³ per atom): 12.23
E_form (uncorrected) (meV/atom): -232
DOS(E_F) (states/eV/cell): 3.09
ρ (g/cm³): 6.4



Entry from Alexandria via LeMat-Bulk: an optimized crystal structure of ZnCu3Bi (GGA-PBE).

abc: 5.052 5.052 5.052
angles: 90.00 90.00 90.00
Space group Pm-3m (No. 221)
Unique sites:
1 Zn 0.000 0.000 0.000 x1
2 Cu 0.000 0.500 0.500 x3
3 Bi 0.500 0.500 0.500 x1

Output
Volume (Å³ per atom): 25.78
DOS(E_F) (states/eV/cell): 0.00
ΔE to the lowest computed polymorph (eV per atom): 0.334
ρ (g/cm³): 6.0
Formation enthalpy at 0 K (meV per atom): 816.4



Entry from Alexandria via LeMat-Bulk: an optimized crystal structure of CePtRh (GGA-PBE).

abc: 5.382 5.456 7.664
angles: 90.00 90.00 90.00
Space group Imma (No. 74)
Unique sites:
1 Ce 0.000 0.250 0.128 x4
2 Pt 0.250 0.250 0.750 x4
3 Rh 0.000 0.000 0.500 x4

Output
Volume (Å³ per atom): 18.75
DOS(E_F) (states/eV/cell): 18.65
ΔE to the lowest computed polymorph (eV per atom): 0.000
ρ (g/cm³): 12.9
Formation enthalpy at 0 K (meV per atom): -899.4



Entry from Alexandria via LeMat-Bulk: an optimized crystal structure of PCl2 (GGA-PBE).

abc: 3.3850 3.3850 6.4040
angles: 90.00 90.00 120.00
Space group P-3m1 (No. 164)
Unique sites:
1 P 0.0000 0.0000 0.0000 x1
2 Cl 0.3333 0.6667 0.2786 x2

Output
Volume (Å³ per atom): 21.18
E_form (uncorrected) (meV/atom): 373
DOS(E_F) (states/eV/cell): 3.02
ρ (g/cm³): 2.7



Entry from Alexandria via LeMat-Bulk: an optimized crystal structure of TiAgBiMo2 (GGA-PBE).

abc: 5.155 5.155 5.035
angles: 90.00 90.00 90.00
Space group P4/mmm (No. 123)
Unique sites:
1 Ti 0.000 0.000 0.000 x1
2 Ag 0.500 0.500 0.000 x1
3 Bi 0.500 0.500 0.500 x1
4 Mo 0.000 0.500 0.500 x2

Output
Volume (Å³ per atom): 26.76
DOS(E_F) (states/eV/cell): 4.53
ρ (g/cm³): 6.9
Formation enthalpy at 0 K (meV per atom): 1990.8



Entry from Alexandria via LeMat-Bulk: an optimized crystal structure of CeHo3Sc7 (GGA-PBE).

abc: 5.402 10.531 10.658
angles: 90.00 90.00 90.00
Space group Immm (No. 71)
Unique sites:
1 Ce 0.000 0.000 0.000 x2
2 Ho 0.000 0.208 0.500 x4
3 Ho 0.000 0.500 0.000 x2
4 Sc 0.000 0.000 0.288 x4
5 Sc 0.000 0.308 0.217 x8
6 Sc 0.000 0.500 0.500 x2

Output
Volume (Å³ per atom): 27.56
DOS(E_F) (states/eV/cell): 45.09
ρ (g/cm³): 5.2
Formation enthalpy at 0 K (meV per atom): 299.7



Entry from Alexandria via LeMat-Bulk: an optimized crystal structure of Ba2FeSi (GGA-PBE).

abc: 4.508 5.201 10.934
angles: 90.00 90.00 90.00
Space group Amm2 (No. 38)
Unique sites:
1 Ba 0.000 0.000 0.000 x2
2 Ba 0.500 0.000 0.301 x2
3 Fe 0.000 0.000 0.673 x2
4 Si 0.500 0.000 0.615 x2

Output
Volume (Å³ per atom): 32.05
E_form (uncorrected) (meV/atom): 31
DOS(E_F) (states/eV/cell): 10.10
ρ (g/cm³): 4.6



Entry from Alexandria via LeMat-Bulk: an optimized crystal structure of PaSb2Au (GGA-PBE).

abc: 4.811 4.811 4.083
angles: 90.00 90.00 90.00
Space group P4/mmm (No. 123)
Unique sites:
1 Pa 0.000 0.000 0.000 x1
2 Sb 0.000 0.500 0.500 x2
3 Au 0.500 0.500 0.000 x1

Output
Volume (Å³ per atom): 23.63
E_form (uncorrected) (meV/atom): -463
DOS(E_F) (states/eV/cell): 2.55
ρ (g/cm³): 11.8



Entry from Alexandria via LeMat-Bulk: an optimized crystal structure of TaGaAu2 (GGA-PBE).

abc: 3.868 3.868 20.004
angles: 90.00 90.00 90.00
Space group I-42d (No. 122)
Unique sites:
1 Ta 0.000 0.000 0.000 x4
2 Ga 0.000 0.000 0.500 x4
3 Au 0.248 0.250 0.625 x8

Output
Volume (Å³ per atom): 18.70
DOS(E_F) (states/eV/cell): 12.31
ρ (g/cm³): 14.3
Formation enthalpy at 0 K (meV per atom): 219.2



Entry from Alexandria via LeMat-Bulk: an optimized crystal structure of Hf3NbGe (GGA-PBE).

abc: 4.921 4.921 4.921
angles: 90.00 90.00 90.00
Space group Pm-3m (No. 221)
Unique sites:
1 Hf 0.000 0.000 0.500 x3
2 Nb 0.500 0.500 0.500 x1
3 Ge 0.000 0.000 0.000 x1

Output
Volume (Å³ per atom): 23.83
DOS(E_F) (states/eV/cell): 9.69
ΔE to the lowest computed polymorph (eV per atom): 0.000
ρ (g/cm³): 9.8
Formation enthalpy at 0 K (meV per atom): 605.5



Entry from Alexandria via LeMat-Bulk: an optimized crystal structure of Pm4AlIn3 (GGA-PBE).

abc: 3.800 3.800 15.379
angles: 90.00 90.00 90.00
Space group P4/mmm (No. 123)
Unique sites:
1 Pm 0.000 0.000 0.117 x2
2 Pm 0.000 0.000 0.372 x2
3 Al 0.500 0.500 0.000 x1
4 In 0.500 0.500 0.244 x2
5 In 0.500 0.500 0.500 x1

Output
Volume (Å³ per atom): 27.76
DOS(E_F) (states/eV/cell): 4.25
ΔE to the lowest computed polymorph (eV per atom): 0.000
ρ (g/cm³): 7.1
Formation enthalpy at 0 K (meV per atom): -461.3



Entry from Alexandria via LeMat-Bulk: an optimized crystal structure of LiSbMo (GGA-PBE).

abc: 6.298 6.298 6.298
angles: 90.00 90.00 90.00
Space group F-43m (No. 216)
Unique sites:
1 Li 0.000 0.000 0.000 x4
2 Sb 0.250 0.250 0.250 x4
3 Mo 0.000 0.000 0.500 x4

Output
Volume (Å³ per atom): 20.82
E_form (uncorrected) (meV/atom): 363
DOS(E_F) (states/eV/cell): 12.31
ΔE to the lowest computed polymorph (eV per atom): 0.196
ρ (g/cm³): 6.0